Entry 1:
A relaxed structure of La12NdTl4O3, computed with PBE.

Structure (POSCAR):
```
La12NdTl4O3
1.0
-5.2281 5.2281 5.2281
5.2281 -5.2281 5.2281
5.2281 5.2281 -5.2281
La Nd Tl O
12 1 4 3
Direct
0.0000 0.2717 0.2717
0.0000 0.7283 0.7283
0.2500 0.5000 0.7500
0.2500 0.7500 0.5000
0.2717 0.0000 0.2717
0.2717 0.2717 0.0000
0.5000 0.2500 0.7500
0.5000 0.7500 0.2500
0.7283 0.0000 0.7283
0.7283 0.7283 0.0000
0.7500 0.2500 0.5000
0.7500 0.5000 0.2500
0.0000 0.0000 0.0000
0.0000 0.0000 0.5000
0.0000 0.5000 0.0000
0.5000 0.0000 0.0000
0.5000 0.5000 0.5000
0.0000 0.5000 0.5000
0.5000 0.0000 0.5000
0.5000 0.5000 0.0000
```

Output
SG	Im-3m (229)
uncorrected formation energy	-17.2	eV/f.u.

=====

Entry 2:
A relaxed structure of La2Nd4Tl3O2, computed with PBE.

Structure (POSCAR):
```
La2Nd4Tl3O2
1.0
-2.4609 2.4609 12.8987
2.4609 -2.4609 12.8987
2.4609 2.4609 -12.8987
La Nd Tl O
2 4 3 2
Direct
0.1961 0.1961 0.0000
0.8039 0.8039 0.0000
0.0838 0.5838 0.5000
0.4162 0.9162 0.5000
0.5838 0.0838 0.5000
0.9162 0.4162 0.5000
0.3262 0.3262 0.0000
0.5000 0.5000 0.0000
0.6738 0.6738 0.0000
0.1022 0.1022 0.0000
0.8978 0.8978 0.0000
```

Output
SG	I4/mmm (139)
uncorrected formation energy	-13.5	eV/f.u.

=====

Entry 3:
A relaxed structure of LaNd12Tl4O3, computed with PBE.

Structure (POSCAR):
```
LaNd12Tl4O3
1.0
-5.1347 5.1347 5.1347
5.1347 -5.1347 5.1347
5.1347 5.1347 -5.1347
La Nd Tl O
1 12 4 3
Direct
0.0000 0.0000 0.0000
0.0000 0.2723 0.2723
0.0000 0.7277 0.7277
0.2500 0.5000 0.7500
0.2500 0.7500 0.5000
0.2723 0.0000 0.2723
0.2723 0.2723 0.0000
0.5000 0.2500 0.7500
0.5000 0.7500 0.2500
0.7277 0.0000 0.7277
0.7277 0.7277 0.0000
0.7500 0.2500 0.5000
0.7500 0.5000 0.2500
0.0000 0.0000 0.5000
0.0000 0.5000 0.0000
0.5000 0.0000 0.0000
0.5000 0.5000 0.5000
0.0000 0.5000 0.5000
0.5000 0.0000 0.5000
0.5000 0.5000 0.0000
```

Output
SG	Im-3m (229)
uncorrected formation energy	-15.3	eV/f.u.